Computed, not measured: a geometry-optimized La2Zr2As structure at the GGA-PBEsol level of DFT.

## Properties
DOS(E_F)   5.9 states/eV/f.u.
Total energy   -6.896 eV/atom
Formation energy from the elements   -0.10 eV per atom
V   28.2 Å³/atom
Space group   I4/mmm (139)
Total magnetization   0.000 μB per atom

Unit cell a=9.916 b=9.916 c=9.916 alpha=157.66 beta=157.66 gamma=31.80
Fractional positions:
La  0.085  0.085  0.000
La  0.915  0.915  0.000
Zr  0.250  0.750  0.500
Zr  0.750  0.250  0.500
As  0.500  0.500  0.000



Computed, not measured: a geometry-optimized LaZr2As structure at the GGA-PBEsol level of DFT.

## Properties
DOS(E_F)   3.5 states/eV/f.u.
Total energy   -7.641 eV/atom
Formation energy from the elements   -0.48 eV per atom
V   23.4 Å³/atom
Space group   Cm (8)
Total magnetization   0.000 μB per atom

Unit cell a=5.383 b=5.383 c=5.994 alpha=118.22 beta=118.22 gamma=38.55
Fractional positions:
La  0.000  0.000  0.000
Zr  0.190  0.190  0.781
Zr  0.395  0.395  0.418
As  0.700  0.700  0.458



Computed, not measured: a geometry-optimized LiAs2 structure at the GGA-PBEsol level of DFT.

## Properties
DOS(E_F)   0.7 states/eV/f.u.
Total energy   -4.249 eV/atom
Formation energy from the elements   -0.19 eV per atom
V   19.0 Å³/atom
Space group   Cmcm (63)
Total magnetization   0.000 μB per atom

Unit cell a=5.206 b=5.206 c=4.993 alpha=90.00 beta=90.00 gamma=57.28
Fractional positions:
Li  0.249  0.751  0.750
Li  0.751  0.249  0.250
As  0.048  0.548  0.250
As  0.452  0.952  0.250
As  0.548  0.048  0.750
As  0.952  0.452  0.750



Computed, not measured: a geometry-optimized LiAs2 structure at the GGA-PBEsol level of DFT.

## Properties
DOS(E_F)   0.6 states/eV/f.u.
Total energy   -4.295 eV/atom
Formation energy from the elements   -0.24 eV per atom
V   19.9 Å³/atom
Space group   C2/m (12)
Total magnetization   0.000 μB per atom

Unit cell a=5.884 b=5.884 c=5.504 alpha=100.24 beta=100.24 gamma=39.59
Fractional positions:
Li  0.117  0.117  0.467
Li  0.883  0.883  0.533
As  0.270  0.270  0.145
As  0.492  0.492  0.217
As  0.508  0.508  0.783
As  0.730  0.730  0.855



Computed, not measured: a geometry-optimized Li5As3 structure at the GGA-PBEsol level of DFT.

## Properties
DOS(E_F)   0.9 states/eV/f.u.
Total energy   -3.668 eV/atom
Formation energy from the elements   -0.52 eV per atom
V   15.1 Å³/atom
Space group   Cmmm (65)
Total magnetization   0.000 μB per atom

Unit cell a=5.546 b=5.546 c=3.918 alpha=90.00 beta=90.00 gamma=90.43
Fractional positions:
Li  0.000  0.000  0.000
Li  0.000  0.500  0.000
Li  0.270  0.730  0.500
Li  0.500  0.000  0.000
Li  0.730  0.270  0.500
As  0.228  0.228  0.500
As  0.500  0.500  0.000
As  0.772  0.772  0.500



Computed, not measured: a geometry-optimized LiAs structure at the GGA-PBEsol level of DFT.

## Properties
DOS(E_F)   0.6 states/eV/f.u.
Total energy   -3.930 eV/atom
Formation energy from the elements   -0.39 eV per atom
V   17.0 Å³/atom
Space group   Imma (74)
Total magnetization   0.000 μB per atom

Unit cell a=5.442 b=5.442 c=5.442 alpha=142.25 beta=135.74 gamma=59.54
Fractional positions:
Li  0.378  0.128  0.250
Li  0.622  0.872  0.750
As  0.099  0.349  0.750
As  0.901  0.651  0.250



Computed, not measured: a geometry-optimized LiAs structure at the GGA-PBEsol level of DFT.

## Properties
DOS(E_F)   0.0 states/eV/f.u.
Total energy   -4.023 eV/atom
Formation energy from the elements   -0.49 eV per atom
V   17.5 Å³/atom
Space group   P2_1/c (14)
Total magnetization   0.000 μB per atom

Unit cell a=5.736 b=5.217 c=10.545 alpha=90.00 beta=117.72 gamma=90.00
Fractional positions:
Li  0.229  0.166  0.050
Li  0.229  0.334  0.550
Li  0.235  0.585  0.827
Li  0.235  0.915  0.327
Li  0.765  0.085  0.673
Li  0.765  0.415  0.173
Li  0.771  0.666  0.450
Li  0.771  0.834  0.950
As  0.283  0.665  0.097
As  0.283  0.835  0.597
As  0.302  0.079  0.803
As  0.302  0.421  0.303
As  0.698  0.579  0.697
As  0.698  0.921  0.197
As  0.717  0.165  0.403
As  0.717  0.335  0.903



Computed, not measured: a geometry-optimized LiAs3 structure at the GGA-PBEsol level of DFT.

## Properties
DOS(E_F)   0.9 states/eV/f.u.
Total energy   -4.437 eV/atom
Formation energy from the elements   -0.12 eV per atom
V   18.5 Å³/atom
Space group   Imm2 (44)
Total magnetization   0.000 μB per atom

Unit cell a=5.498 b=5.498 c=5.498 alpha=137.87 beta=61.05 gamma=137.93
Fractional positions:
Li  0.000  0.000  0.000
As  0.428  0.697  0.731
As  0.504  0.004  0.500
As  0.966  0.697  0.269